A relaxed structure of Ac2SmMo3O12, computed with GGA+U.

```
Ac2SmMo3O12
1.0
6.831 -0.299 -0.212
3.113 6.087 -0.212
3.113 1.812 5.815
O Ac Mo Sm
12 2 3 1
Cartesian
7.603 1.876 1.331
3.202 3.627 0.704
5.386 5.685 1.331
4.735 0.993 0.704
5.386 3.135 4.925
9.856 3.974 4.687
3.202 1.864 3.190
7.672 4.466 0.466
5.455 5.725 4.061
9.856 5.737 2.201
8.323 6.608 4.687
7.672 1.916 4.061
8.041 4.681 3.320
5.016 2.920 2.071
3.415 -0.149 -0.106
1.557 0.906 2.908
1.557 3.044 -0.106
0.000 0.000 0.000
```

Results
raw total energy: -0.5568 Ry/atom
space-group type: R-3m (166)
total magnetization: 3.000 μB/cell